1.
Here is crystalline CsMnBe2F8 at its relaxed geometry from Alexandria. Energies are from GGA+U.

Structure (POSCAR):
```
CsMnBe2F8
1.0
2.4770 1.4301 8.5599
-2.4770 1.4301 8.5599
0.0000 -2.8601 8.5599
Cs Mn Be F
1 1 2 8
Direct
0.0000 0.0000 0.0000
0.5000 0.5000 0.5000
0.2320 0.2320 0.2320
0.7680 0.7680 0.7680
0.1142 0.5197 0.7353
0.2647 0.8858 0.4803
0.2903 0.2903 0.2903
0.4803 0.2647 0.8858
0.5197 0.7353 0.1142
0.7097 0.7097 0.7097
0.7353 0.1142 0.5197
0.8858 0.4803 0.2647
```

**Electronic total energy**: -5.34 eV/atom
**Space group**: No. 148
**Size of the total moment**: 2.0 Bohr magnetons per cell



2.
Here is crystalline CsBe2MoF8 at its relaxed geometry from Alexandria. Energies are from GGA+U.

Structure (POSCAR):
```
CsBe2MoF8
1.0
2.5458 1.4698 8.6990
-2.5458 1.4698 8.6990
0.0000 -2.9396 8.6990
Cs Be Mo F
1 2 1 8
Direct
0.0000 0.0000 0.0000
0.2369 0.2369 0.2369
0.7631 0.7631 0.7631
0.5000 0.5000 0.5000
0.0928 0.5145 0.7491
0.2509 0.9072 0.4855
0.2942 0.2942 0.2942
0.4855 0.2509 0.9072
0.5145 0.7491 0.0928
0.7058 0.7058 0.7058
0.7491 0.0928 0.5145
0.9072 0.4855 0.2509
```

**Electronic total energy**: -5.54 eV/atom
**Space group**: No. 148
**Size of the total moment**: 3.0 Bohr magnetons per cell



3.
Here is crystalline CsBeMoF6 at its relaxed geometry from Alexandria. Energies are from GGA+U.

Structure (POSCAR):
```
CsBeMoF6
1.0
2.6272 -4.5340 0.0000
2.6272 4.5340 0.0000
-0.0085 0.0000 6.5621
Cs Be Mo F
1 1 1 6
Direct
0.0000 0.0000 0.0000
0.6674 0.3326 0.5000
0.3334 0.6666 0.5000
0.3935 0.3492 0.3436
0.3945 0.0429 0.6575
0.6499 0.0427 0.3436
0.6508 0.6065 0.6564
0.9573 0.3501 0.6564
0.9571 0.6055 0.3425
```

**Electronic total energy**: -5.32 eV/atom
**Space group**: No. 5
**Size of the total moment**: 3.0 Bohr magnetons per cell



Copy entry 1 word for word.
Here is crystalline CsMnBe2F8 at its relaxed geometry from Alexandria. Energies are from GGA+U.

Structure (POSCAR):
```
CsMnBe2F8
1.0
2.4770 1.4301 8.5599
-2.4770 1.4301 8.5599
0.0000 -2.8601 8.5599
Cs Mn Be F
1 1 2 8
Direct
0.0000 0.0000 0.0000
0.5000 0.5000 0.5000
0.2320 0.2320 0.2320
0.7680 0.7680 0.7680
0.1142 0.5197 0.7353
0.2647 0.8858 0.4803
0.2903 0.2903 0.2903
0.4803 0.2647 0.8858
0.5197 0.7353 0.1142
0.7097 0.7097 0.7097
0.7353 0.1142 0.5197
0.8858 0.4803 0.2647
```

**Electronic total energy**: -5.34 eV/atom
**Space group**: No. 148
**Size of the total moment**: 2.0 Bohr magnetons per cell



Question: Number 2 is which compound?
Answer: CsBe2MoF8